1.
Computed, not measured: MoH3Pd after structural relaxation at the PBE level of DFT.

a = 3.4930 Å, b = 3.4930 Å, c = 3.4930 Å
α = 90.00°, β = 90.00°, γ = 90.00°
Positions (direct):
Mo: 0.0000 0.0000 0.0000
H: 0.0000 0.0000 0.5000
H: 0.0000 0.5000 0.0000
H: 0.5000 0.0000 0.0000
Pd: 0.5000 0.5000 0.5000

2.
Computed, not measured: Mo2HPd after structural relaxation at the PBE level of DFT.

a = 7.2609 Å, b = 7.2609 Å, c = 7.2609 Å
α = 22.40°, β = 22.40°, γ = 22.40°
Positions (direct):
Mo: 0.0000 0.0000 0.0000
Mo: 0.2144 0.2144 0.2144
H: 0.6075 0.6075 0.6075
Pd: 0.4397 0.4397 0.4397

3.
Computed, not measured: Mo2HPd after structural relaxation at the PBE level of DFT.

a = 4.2600 Å, b = 4.2600 Å, c = 4.2600 Å
α = 60.00°, β = 60.00°, γ = 60.00°
Positions (direct):
Mo: 0.2500 0.2500 0.2500
Mo: 0.7500 0.7500 0.7500
H: 0.0000 0.0000 0.0000
Pd: 0.5000 0.5000 0.5000

Number 1: E above lowest polymorph 0.0 kJ/mol of atoms. Number 2: E above lowest polymorph 0.0 kJ/mol of atoms. Number 3: E above lowest polymorph 70.8 kJ/mol of atoms.